[1]
VASP calculation (GGA-PBE) on a relaxed Pm8Pr3Nd3 crystal.

Output
- Magnetic moment: 0.0000 μB/atom
- Formation energy: 0.101 eV per atom
- Energy above the most stable polymorph in this dataset: 4 meV/atom

Cell lengths 5.7963, 9.9494, 9.9494 Å; angles 102.59, 73.06, 73.06 degrees
Last column: nearest neighbours and their distance in Å.
Positions (direct):
Nd1 0.0000 0.1840 0.8160  2 Pr 3.58, 8 Pm 3.69-3.79
Pr1 0.8039 0.1961 0.1961  1 Pr 3.35, 4 Nd 3.58-3.61, 4 Pm 3.66
Pm1 0.1617 0.2350 0.4416  5 Pm 3.21-3.56
Pm2 0.8383 0.7650 0.5584  5 Pm 3.21-3.56
Pm3 0.3400 0.8820 0.4381  6 Pm 3.35-3.62, 2 Nd 3.69
Pm4 0.8383 0.5584 0.7650  5 Pm 3.21-3.56
Pr2 0.5000 0.5000 0.5000  2 Pr 3.35
Pm5 0.1617 0.4416 0.2350  5 Pm 3.21-3.56
Nd2 0.0000 0.8160 0.1840  2 Pr 3.58, 8 Pm 3.69-3.79
Pr3 0.1961 0.8039 0.8039  1 Pr 3.35, 4 Nd 3.58-3.61, 4 Pm 3.66
Pm6 0.3400 0.4381 0.8820  6 Pm 3.35-3.62, 2 Nd 3.69
Nd3 0.5000 0.0000 0.0000  4 Pr 3.61
Pm7 0.6600 0.1180 0.5619  6 Pm 3.35-3.62, 2 Nd 3.69
Pm8 0.6600 0.5619 0.1180  6 Pm 3.35-3.62, 2 Nd 3.69

[2]
VASP calculation (GGA-PBE) on a relaxed Li2PbCl crystal.

Output
- Magnetic moment: 0.0000 μB/atom
- Energy above the most stable polymorph in this dataset: 36 meV/atom
- Raw formation energy: -0.8938 eV/atom

Cell lengths 3.3434, 3.3434, 8.1394 Å; angles 90.00, 90.00, 90.00 degrees
Last column: nearest neighbours and their distance in Å.
Positions (direct):
Cl1 0.5000 0.5000 0.9399  5 Li 2.35-2.47
Pb1 0.0000 0.0000 0.4781  5 Li 3.06-3.12, 4 Pb 3.34
Li1 0.5000 0.5000 0.2283  1 Cl 2.35
Li2 0.0000 0.0000 0.8537  4 Cl 2.47

[3]
VASP calculation (GGA-PBE) on a relaxed LiYO2F crystal.

Output
- Magnetic moment: 0.2009 μB/atom
- Raw formation energy: -2.4357 eV/atom

Cell lengths 3.7338, 3.7338, 3.6074 Å; angles 90.00, 90.00, 90.00 degrees
Last column: nearest neighbours and their distance in Å.
Positions (direct):
Li1 0.0000 0.0000 0.0000  2 F 1.80, 4 O 1.87
O1 0.5000 0.0000 0.0000  2 Li 1.87
O2 0.0000 0.5000 0.0000  2 Li 1.87
F1 0.0000 0.0000 0.5000  2 Li 1.80
Y1 0.5000 0.5000 0.5000  8 O 2.60, 4 F 2.64

[4]
VASP calculation (GGA-PBE) on a relaxed Rb2HfTlBr6 crystal.

Output
- Magnetic moment: 0.1026 μB/atom
- Energy above the most stable polymorph in this dataset: 0 meV/atom
- Raw formation energy: -1.3377 eV/atom

Cell lengths 7.7315, 7.7315, 16.9130 Å; angles 76.79, 76.79, 60.00 degrees
Last column: nearest neighbours and their distance in Å.
Positions (direct):
Br1 0.3708 0.3708 0.4028  1 Hf 2.68
Tl1 0.5838 0.5838 0.2486  6 Br 3.32-3.39
Rb1 0.1424 0.1424 0.5729  9 Br 3.61-3.89
Br2 0.2912 0.8065 0.0957  1 Hf 2.67
Rb2 0.3098 0.3098 0.0706  9 Br 3.56-3.89
Br3 0.6292 0.6292 0.5972  1 Hf 2.68
Hf1 0.5000 0.5000 0.5000  6 Br 2.68
Br4 0.7088 0.1935 0.9043  1 Hf 2.67
Rb3 0.6902 0.6902 0.9294  9 Br 3.56-3.89
Br5 0.8065 0.2912 0.0957  1 Hf 2.67
Br6 0.1444 0.6292 0.5972  1 Hf 2.68
Br7 0.6292 0.1444 0.5972  1 Hf 2.68
Rb4 0.8576 0.8576 0.4271  9 Br 3.61-3.89
Hf2 0.0000 0.0000 0.0000  6 Br 2.67
Tl2 0.4162 0.4162 0.7514  6 Br 3.32-3.39
Br8 0.1935 0.1935 0.9043  1 Hf 2.67
Br9 0.3708 0.8556 0.4028  1 Hf 2.68
Br10 0.8556 0.3708 0.4028  1 Hf 2.68
Br11 0.1935 0.7088 0.9043  1 Hf 2.67
Br12 0.8065 0.8065 0.0957  1 Hf 2.67

[5]
VASP calculation (GGA-PBE) on a relaxed AlZnSiN2 crystal.

Output
- Magnetic moment: 0.0000 μB/atom
- Raw formation energy: 1.6047 eV/atom

Cell lengths 3.8101, 5.1123, 3.8101 Å; angles 90.00, 90.00, 90.00 degrees
Last column: nearest neighbours and their distance in Å.
Positions (direct):
N1 0.5000 0.0000 0.0000  2 Zn 1.91
Al1 0.0000 0.5000 0.0000  2 Zn 2.56, 4 Si 2.69
N2 0.0000 0.0000 0.5000  2 Zn 1.91
Si1 0.5000 0.5000 0.5000  4 Al 2.69
Zn1 0.0000 0.0000 0.0000  4 N 1.91

[6]
VASP calculation (GGA-PBE) on a relaxed TcNi2Se crystal.

Output
- Magnetic moment: 0.0001 μB/atom
- Raw formation energy: 0.2202 eV/atom

Cell lengths 4.9749, 4.9749, 4.9749 Å; angles 146.14, 129.43, 62.26 degrees
Last column: nearest neighbours and their distance in Å.
Positions (direct):
Ni1 0.5206 0.5206 0.0000  2 Se 2.43, 4 Ni 2.60, 2 Tc 2.72
Tc1 0.2500 0.7500 0.5000  4 Se 2.57, 4 Ni 2.72
Se1 0.7500 0.2500 0.5000  4 Ni 2.43, 4 Tc 2.57
Ni2 0.9794 0.9794 0.0000  2 Se 2.43, 4 Ni 2.60, 2 Tc 2.72